{
  "formula": "Ac2Pm6In",
  "functional": "PBE-GGA",
  "state": "relaxed",
  "lattice_angstrom": [[-1.668, -3.257, -0.721], [6.869, -5.019, 6.787], [-7.660, 5.387, 3.011]],
  "species": ["Pm", "Pm", "Pm", "Pm", "Pm", "Pm", "In", "Ac", "Ac"],
  "fractional_positions": [[0.181, 0.023, 0.360], [0.819, 0.977, 0.640], [0.819, 0.663, 0.640], [0.500, 0.735, 0.000], [0.500, 0.265, 0.000], [0.181, 0.337, 0.360], [0.000, 0.000, 0.000], [0.862, 0.361, 0.721], [0.138, 0.639, 0.279]],
  "total_magnetization_mub_per_fu": 0.00,
  "n_ef_per_ev_cell": 11.94,
  "formation_enthalpy_0k_ev_per_atom": -0.0040
}

***

{
  "formula": "Cr4TcMo",
  "functional": "PBE-GGA",
  "state": "relaxed",
  "lattice_angstrom": [[4.783, 0.000, 0.000], [2.391, 4.142, 0.000], [2.391, 1.381, 3.905]],
  "species": ["Tc", "Cr", "Cr", "Cr", "Cr", "Mo"],
  "fractional_positions": [[0.000, 0.000, 0.000], [0.625, 0.126, 0.625], [0.625, 0.625, 0.625], [0.625, 0.625, 0.126], [0.126, 0.625, 0.625], [0.250, 0.250, 0.250]],
  "total_magnetization_mub_per_fu": 0.00,
  "n_ef_per_ev_cell": 9.46,
  "formation_enthalpy_0k_ev_per_atom": 0.0673
}

***

{
  "formula": "Ac2EuSn",
  "functional": "PBE-GGA",
  "state": "relaxed",
  "lattice_angstrom": [[3.951, 0.000, 0.000], [1.976, 3.422, 0.000], [1.976, 1.141, 12.556]],
  "species": ["Ac", "Ac", "Eu", "Sn"],
  "fractional_positions": [[0.100, 0.100, 0.701], [0.900, 0.900, 0.299], [0.000, 0.000, 0.000], [0.500, 0.500, 0.500]],
  "total_magnetization_mub_per_fu": 7.49,
  "n_ef_per_ev_cell": 5.05,
  "formation_enthalpy_0k_ev_per_atom": -0.0159
}

***

{
  "formula": "Tb2TlCl",
  "functional": "PBE-GGA",
  "state": "relaxed",
  "lattice_angstrom": [[4.732, 0.000, 0.000], [2.366, 4.098, 0.000], [2.366, 1.366, 8.084]],
  "species": ["Cl", "Tl", "Tb", "Tb"],
  "fractional_positions": [[0.000, 0.000, 0.000], [0.500, 0.500, 0.500], [0.110, 0.110, 0.671], [0.890, 0.890, 0.329]],
  "total_magnetization_mub_per_fu": 0.00,
  "n_ef_per_ev_cell": 0.55,
  "formation_energy_uncorrected_ev_per_fu": -2.74
}

***

{
  "formula": "BaCoBr2",
  "functional": "PBE-GGA",
  "state": "relaxed",
  "lattice_angstrom": [[6.032, 0.000, 0.000], [0.000, 6.032, 0.000], [3.016, 3.016, 7.030]],
  "species": ["Ba", "Ba", "Br", "Br", "Br", "Br", "Co", "Co"],
  "fractional_positions": [[0.750, 0.250, 0.500], [0.000, 0.000, 0.000], [0.375, 0.482, 0.750], [0.875, 0.768, 0.750], [0.518, 0.125, 0.250], [0.232, 0.625, 0.250], [0.500, 0.500, 0.000], [0.250, 0.750, 0.500]],
  "total_magnetization_mub_per_fu": 1.06,
  "n_ef_per_ev_cell": 3.65,
  "formation_energy_uncorrected_ev_per_fu": -2.26
}

***

{
  "formula": "Nd7AuS5",
  "functional": "PBE-GGA",
  "state": "relaxed",
  "lattice_angstrom": [[-2.108, -1.239, 3.237], [3.815, -5.478, -2.164], [18.368, 7.004, 14.642]],
  "species": ["S", "S", "S", "S", "S", "S", "S", "S", "S", "S", "Nd", "Nd", "Nd", "Nd", "Nd", "Nd", "Nd", "Nd", "Nd", "Nd", "Nd", "Nd", "Nd", "Nd", "Au", "Au"],
  "fractional_positions": [[0.453, 0.907, 0.642], [0.275, 0.549, 0.070], [0.548, 0.094, 0.358], [0.000, 0.001, 0.000], [0.453, 0.907, 0.858], [0.000, 0.001, 0.500], [0.726, 0.452, 0.570], [0.726, 0.453, 0.930], [0.275, 0.549, 0.430], [0.548, 0.094, 0.142], [0.363, 0.727, 0.536], [0.468, 0.936, 0.250], [0.913, 0.825, 0.106], [0.815, 0.630, 0.674], [0.088, 0.176, 0.606], [0.637, 0.274, 0.464], [0.186, 0.371, 0.174], [0.815, 0.630, 0.826], [0.186, 0.371, 0.326], [0.913, 0.825, 0.394], [0.532, 0.066, 0.750], [0.088, 0.176, 0.894], [0.637, 0.274, 0.036], [0.363, 0.727, 0.964], [0.202, 0.406, 0.750], [0.798, 0.596, 0.250]],
  "total_magnetization_mub_per_fu": 0.00,
  "n_ef_per_ev_cell": 13.63,
  "formation_energy_uncorrected_ev_per_fu": -21.88
}